First-principles (GGA-PBE) data for a relaxed Ba2Li2PmSe4 crystal, as listed in Alexandria via LeMat-Bulk.

Cell and atoms, written as POSCAR:
```
Ba2Li2PmSe4
1.0
4.2808 0.0000 0.0000
0.0000 7.6992 0.1702
-2.1404 -2.8876 7.3072
Se Li Ba Pm
4 2 2 1
direct
0.4799 0.2512 0.9597
0.7944 0.8050 0.5888
0.5201 0.7488 0.0403
0.2056 0.1950 0.4112
0.3191 0.0059 0.6383
0.6809 0.9941 0.3617
0.8670 0.4424 0.7340
0.1330 0.5576 0.2660
0.0000 0.0000 0.0000
```

Calculated values
- total magnetization (μB/atom) = 0.031
- density of states at the Fermi level (states/eV per atom) = 0.435
- total DFT energy (no corrections) (eV/cell) = -41.2